First-principles (PBE) data for crystalline ZnAg5 at its relaxed geometry, as listed in Alexandria.

The structure belongs to space group P2/m (No. 10); the cell edges are 4.846, 2.878 and 8.281 Å and the angles 90.00°, 106.95° and 90.00°. The inequivalent atoms are Zn at (0.000, 0.000, 0.000), Ag at (0.163, 0.000, 0.326), Ag at (0.322, 0.500, 0.644) and Ag at (0.500, 0.500, 0.000).

The value obtained for the density of states at the Fermi level is 1.93 states/eV/f.u. The magnetization is 0.0 μB/cell. The calculation puts the distance to the lowest polymorph of the same formula at 0.81 eV/f.u. Its energy relative to the elements is 0.130 eV per atom.

=====

First-principles (PBE) data for crystalline Na2PuTiO6 at its relaxed geometry, as listed in Alexandria.

The structure belongs to space group P4mm (No. 99); the cell edges are 5.637, 5.637 and 4.219 Å and the angles 90.00°, 90.00° and 90.00°. The inequivalent atoms are Na at (0.000, 0.500, 0.000), Pu at (0.000, 0.000, 0.568), Ti at (0.500, 0.500, 0.505), O at (0.000, 0.000, 0.070), O at (0.254, 0.254, 0.582) and O at (0.500, 0.500, 0.092).

The value obtained for the uncorrected formation energy is -2.45 eV per atom. The value obtained for the density of states at the Fermi level is 3.27 states/eV/f.u. The magnetization is 2.0 μB/cell.

=====

First-principles (PBE) data for crystalline CsTa3B at its relaxed geometry, as listed in Alexandria.

The structure belongs to space group Pm-3m (No. 221); the cell edges are 4.581, 4.581 and 4.581 Å and the angles 90.00°, 90.00° and 90.00°. The inequivalent atoms are Cs at (0.000, 0.000, 0.000), Ta at (0.000, 0.500, 0.500) and B at (0.500, 0.500, 0.500).

The value obtained for the density of states at the Fermi level is 4.85 states/eV/f.u. The magnetization is 0.0 μB/cell. The calculation puts the distance to the lowest polymorph of the same formula at 0.00 eV/f.u. Its energy relative to the elements is 1.330 eV per atom.

=====

First-principles (PBE) data for crystalline CaSbHI2 at its relaxed geometry, as listed in Alexandria.

The structure belongs to space group P4/mmm (No. 123); the cell edges are 5.722, 5.722 and 4.077 Å and the angles 90.00°, 90.00° and 90.00°. The inequivalent atoms are Ca at (0.000, 0.000, 0.000), Sb at (0.500, 0.500, 0.000), H at (0.500, 0.500, 0.500) and I at (0.000, 0.500, 0.500).

The value obtained for the density of states at the Fermi level is 2.29 states/eV/f.u. The magnetization is 0.0 μB/cell. The calculation puts the distance to the lowest polymorph of the same formula at 0.00 eV/f.u.

=====

First-principles (PBE) data for crystalline MgZn5Pd3 at its relaxed geometry, as listed in Alexandria.

The structure belongs to space group C2/m (No. 12); the cell edges are 7.677, 5.417 and 7.049 Å and the angles 90.00°, 108.05° and 90.00°. The inequivalent atoms are Mg at (0.000, 0.000, 0.000), Zn at (0.000, 0.500, 0.500), Zn at (0.193, 0.235, 0.783), Pd at (0.000, 0.500, 0.000) and Pd at (0.137, 0.000, 0.412).

The value obtained for the density of states at the Fermi level is 2.91 states/eV/f.u. The magnetization is 0.0 μB/cell. Its energy relative to the elements is -0.336 eV per atom.

=====

First-principles (PBE) data for crystalline TaHg2F5 at its relaxed geometry, as listed in Alexandria.

The structure belongs to space group P1 (No. 1); the cell edges are 5.404, 6.208 and 6.778 Å and the angles 89.15°, 88.10° and 64.34°. The inequivalent atoms are Ta at (0.000, 0.000, 0.000), Hg at (0.188, 0.322, 0.501), Hg at (0.511, 0.678, 0.502), F at (0.170, 0.661, 0.001), F at (0.346, 0.001, 0.998), F at (0.824, 0.999, 0.241), F at (0.830, 0.339, 0.000) and F at (0.832, 0.999, 0.764).

The value obtained for the uncorrected formation energy is -2.33 eV per atom. The magnetization is 0.0 μB/cell.

=====

First-principles (PBE) data for crystalline Pm4SmZn5 at its relaxed geometry, as listed in Alexandria.

The structure belongs to space group P4/mmm (No. 123); the cell edges are 3.655, 3.655 and 18.298 Å and the angles 90.00°, 90.00° and 90.00°. The inequivalent atoms are Pm at (0.000, 0.000, 0.100), Pm at (0.000, 0.000, 0.301), Sm at (0.000, 0.000, 0.500), Zn at (0.500, 0.500, 0.000), Zn at (0.500, 0.500, 0.200) and Zn at (0.500, 0.500, 0.401).

The value obtained for the density of states at the Fermi level is 12.35 states/eV/f.u. The magnetization is 0.0 μB/cell. Its energy relative to the elements is -0.315 eV per atom.

=====

First-principles (PBE) data for crystalline PrRuI at its relaxed geometry, as listed in Alexandria.

The structure belongs to space group C2/m (No. 12); the cell edges are 7.346, 4.333 and 12.720 Å and the angles 90.00°, 101.72° and 90.00°. The inequivalent atoms are Pr at (0.058, 0.000, 0.164), Ru at (0.178, 0.500, 0.994) and I at (0.222, 0.000, 0.661).

The value obtained for the uncorrected formation energy is -0.75 eV per atom. The value obtained for the density of states at the Fermi level is 1.74 states/eV/f.u. The magnetization is 0.0 μB/cell.

=====

First-principles (PBE) data for crystalline RuAuSe2 at its relaxed geometry, as listed in Alexandria.

The structure belongs to space group Pmm2 (No. 25); the cell edges are 3.160, 3.978 and 5.797 Å and the angles 90.00°, 90.00° and 90.00°. The inequivalent atoms are Ru at (0.000, 0.000, 0.000), Au at (0.500, 0.500, 0.659), Se at (0.000, 0.000, 0.430) and Se at (0.500, 0.500, 0.102).

The value obtained for the uncorrected formation energy is 0.27 eV per atom. The value obtained for the density of states at the Fermi level is 2.71 states/eV/f.u. The magnetization is 0.0 μB/cell.

=====

First-principles (PBE) data for crystalline NiSbSe2 at its relaxed geometry, as listed in Alexandria.

The structure belongs to space group Cmmm (No. 65); the cell edges are 5.404, 8.385 and 3.502 Å and the angles 90.00°, 90.00° and 90.00°. The inequivalent atoms are Ni at (0.000, 0.000, 0.000), Sb at (0.000, 0.500, 0.000) and Se at (0.000, 0.196, 0.500).

The value obtained for the uncorrected formation energy is -0.09 eV per atom. The value obtained for the density of states at the Fermi level is 2.18 states/eV/f.u. The magnetization is 0.0 μB/cell.

=====

First-principles (PBE) data for crystalline RbSnB at its relaxed geometry, as listed in Alexandria.

The structure belongs to space group P1 (No. 1); the cell edges are 3.800, 5.516 and 10.839 Å and the angles 88.28°, 89.81° and 69.90°. The inequivalent atoms are Rb at (0.000, 0.000, 0.000), Rb at (0.239, 0.512, 0.576), Sn at (0.725, 0.545, 0.204), Sn at (0.956, 0.080, 0.382), B at (0.362, 0.271, 0.222) and B at (0.515, 0.965, 0.253).

The value obtained for the density of states at the Fermi level is 1.07 states/eV/f.u. The magnetization is 0.0 μB/cell. Its energy relative to the elements is 0.299 eV per atom.

=====

First-principles (PBE) data for crystalline CrHgTe at its relaxed geometry, as listed in Alexandria.

The structure belongs to space group P4/nmm (No. 129, origin choice 2); the cell edges are 3.480, 3.480 and 11.824 Å and the angles 90.00°, 90.00° and 90.00°. The inequivalent atoms are Cr at (0.250, 0.250, 0.249), Hg at (0.250, 0.250, 0.919) and Te at (0.250, 0.250, 0.640).

The value obtained for the uncorrected formation energy is 0.19 eV per atom. The value obtained for the density of states at the Fermi level is 1.16 states/eV/f.u. The magnetization is 6.8 μB/cell. The calculation puts the distance to the lowest polymorph of the same formula at 0.20 eV/f.u.

=====

First-principles (PBE) data for crystalline Pd12PbAu6 at its relaxed geometry, as listed in Alexandria.

The structure belongs to space group R-3m (No. 166, hexagonal axes); the cell edges are 10.9990, 10.9990 and 9.4292 Å and the angles 90.00°, 90.00° and 120.00°. The inequivalent atoms are Pd at (0.0000, 0.2595, 0.0000), Pd at (0.0626, 0.5313, 0.1216), Pb at (0.0000, 0.0000, 0.0000) and Au at (0.0866, 0.1733, 0.7400).

The value obtained for the density of states at the Fermi level is 25.87 states/eV/f.u. The magnetization is 0.0 μB/cell. Its energy relative to the elements is 0.032 eV per atom.

=====

First-principles (PBE) data for crystalline Pd5PbAu at its relaxed geometry, as listed in Alexandria.

The structure belongs to space group Cmcm (No. 63); the cell edges are 7.813, 5.777 and 11.318 Å and the angles 90.00°, 90.00° and 90.00°. The inequivalent atoms are Pd at (0.000, 0.005, 0.250), Pd at (0.247, 0.257, 0.122), Pb at (0.000, 0.490, 0.750) and Au at (0.000, 0.000, 0.000).

The value obtained for the density of states at the Fermi level is 6.30 states/eV/f.u. The magnetization is 0.0 μB/cell. Its energy relative to the elements is -0.099 eV per atom.

=====

First-principles (PBE) data for crystalline Li6MgPd6 at its relaxed geometry, as listed in Alexandria.

The structure belongs to space group P6/mmm (No. 191); the cell edges are 4.9547, 4.9547 and 8.6497 Å and the angles 90.00°, 90.00° and 120.00°. The inequivalent atoms are Li at (0.0000, 0.5000, 0.2494), Mg at (0.0000, 0.0000, 0.0000), Pd at (0.0000, 0.0000, 0.3493), Pd at (0.3333, 0.6667, 0.0000) and Pd at (0.3333, 0.6667, 0.5000).

The value obtained for the density of states at the Fermi level is 6.24 states/eV/f.u. The magnetization is 0.0 μB/cell. Its energy relative to the elements is -0.337 eV per atom.

=====

First-principles (PBE) data for crystalline TlGa2Cu at its relaxed geometry, as listed in Alexandria.

The structure belongs to space group R-3m (No. 166, hexagonal axes); the cell edges are 3.2123, 3.2123 and 27.6883 Å and the angles 90.00°, 90.00° and 120.00°. The inequivalent atoms are Tl at (0.0000, 0.0000, 0.0000), Ga at (0.0000, 0.0000, 0.1029) and Cu at (0.0000, 0.0000, 0.5000).

The value obtained for the density of states at the Fermi level is 2.27 states/eV/f.u. The magnetization is 0.0 μB/cell. The calculation puts the distance to the lowest polymorph of the same formula at 0.19 eV/f.u. Its energy relative to the elements is 0.128 eV per atom.

=====

First-principles (PBE) data for crystalline SrCeSe2 at its relaxed geometry, as listed in Alexandria.

The structure belongs to space group P-3m1 (No. 164); the cell edges are 4.3170, 4.3170 and 21.2688 Å and the angles 90.00°, 90.00° and 120.00°. The inequivalent atoms are Sr at (0.0000, 0.0000, 0.0000), Sr at (0.3333, 0.6667, 0.1741), Ce at (0.0000, 0.0000, 0.5000), Ce at (0.3333, 0.6667, 0.6542), Se at (0.0000, 0.0000, 0.2622), Se at (0.3333, 0.6667, 0.4218) and Se at (0.3333, 0.6667, 0.9126).

The value obtained for the uncorrected formation energy is -1.91 eV per atom. The value obtained for the density of states at the Fermi level is 6.63 states/eV/f.u. The magnetization is 3.1 μB/cell. The calculation puts the distance to the lowest polymorph of the same formula at 0.00 eV/f.u.

=====

First-principles (PBE) data for crystalline Ca3MnFe at its relaxed geometry, as listed in Alexandria.

The structure belongs to space group Pm-3m (No. 221); the cell edges are 5.199, 5.199 and 5.199 Å and the angles 90.00°, 90.00° and 90.00°. The inequivalent atoms are Ca at (0.000, 0.000, 0.500), Mn at (0.000, 0.000, 0.000) and Fe at (0.500, 0.500, 0.500).

The value obtained for the density of states at the Fermi level is 17.86 states/eV/f.u. The magnetization is 0.2 μB/cell. The calculation puts the distance to the lowest polymorph of the same formula at 3.49 eV/f.u. Its energy relative to the elements is 1.398 eV per atom.

=====

First-principles (PBE) data for crystalline CrCdMo2 at its relaxed geometry, as listed in Alexandria.

The structure belongs to space group R3m (No. 160, hexagonal axes); the cell edges are 2.9046, 2.9046 and 26.9651 Å and the angles 90.00°, 90.00° and 120.00°. The inequivalent atoms are Cr at (0.0000, 0.0000, 0.0000), Cd at (0.0000, 0.0000, 0.7561), Mo at (0.0000, 0.0000, 0.2676) and Mo at (0.0000, 0.0000, 0.5167).

The value obtained for the density of states at the Fermi level is 3.05 states/eV/f.u. The magnetization is 0.0 μB/cell. Its energy relative to the elements is 0.471 eV per atom.

=====

First-principles (PBE) data for crystalline ReN at its relaxed geometry, as listed in Alexandria.

The structure belongs to space group P4_2/mmc (No. 131); the cell edges are 2.714, 2.714 and 6.220 Å and the angles 90.00°, 90.00° and 90.00°. The inequivalent atoms are Re at (0.000, 0.500, 0.000) and N at (0.000, 0.000, 0.250).

The value obtained for the uncorrected formation energy is 0.40 eV per atom. The value obtained for the density of states at the Fermi level is 1.17 states/eV/f.u. The magnetization is 0.0 μB/cell. The calculation puts the distance to the lowest polymorph of the same formula at 0.72 eV/f.u.

=====

| no. | raw total energy (eV per atom) |
| --- | --- |
| 1 | -2.459 |
| 2 | -7.914 |
| 3 | -7.287 |
| 4 | -2.740 |
| 5 | -2.952 |
| 6 | -5.059 |
| 7 | -3.324 |
| 8 | -5.947 |
| 9 | -4.611 |
| 10 | -4.304 |
| 11 | -3.584 |
| 12 | -4.171 |
| 13 | -4.478 |
| 14 | -4.806 |
| 15 | -3.740 |
| 16 | -3.001 |
| 17 | -5.561 |
| 18 | -3.329 |
| 19 | -7.579 |
| 20 | -9.983 |